1.
Compound: TlMo2Cl
Source: Alexandria
Functional: GGA-PBE
Structure: optimized geometry

Cell lengths 4.974, 4.974, 4.974 Å; angles 128.50, 128.50, 75.81 degrees
Element x y z (fractional)
Cl (0.750, 0.250, 0.500)
Mo (0.000, 0.000, 0.000)
Mo (0.250, 0.750, 0.500)
Tl (0.500, 0.500, 0.000)

Properties
Crystal system ... tetragonal
Size of the total moment ... 0.0 μB/cell
Space-group type ... I-4m2
Energy relative to the elements, uncorrected ... 966 meV/atom
Energy relative to the lowest polymorph listed for this composition ... 802.0 meV per atom

=====

2.
Compound: TlMoCl6
Source: Alexandria
Functional: GGA-PBE
Structure: optimized geometry

Cell lengths 6.980, 6.980, 10.679 Å; angles 90.29, 90.29, 72.67 degrees
Each line ends with the local moment (μB).
Element x y z (fractional)
Tl (0.014, 0.986, 0.250)  -0.01
Tl (0.986, 0.014, 0.750)  -0.01
Mo (0.000, 0.500, 0.500)  0.89
Mo (0.500, 0.000, 0.000)  0.89
Cl (0.265, 0.583, 0.405)  -0.01
Cl (0.735, 0.417, 0.595)  -0.01
Cl (0.417, 0.735, 0.095)  -0.01
Cl (0.583, 0.265, 0.905)  -0.01
Cl (0.869, 0.461, 0.302)  0.00
Cl (0.131, 0.539, 0.698)  0.00
Cl (0.539, 0.131, 0.198)  0.00
Cl (0.461, 0.869, 0.802)  0.00
Cl (0.156, 0.191, 0.999)  0.00
Cl (0.844, 0.809, 0.001)  0.00
Cl (0.809, 0.844, 0.501)  0.00
Cl (0.191, 0.156, 0.499)  0.00

Properties
Crystal system ... monoclinic
Size of the total moment ... 2.0 μB/cell
Space-group type ... C2/c
Energy relative to the elements, uncorrected ... -885 meV/atom
Energy relative to the lowest polymorph listed for this composition ... 0.0 meV per atom

=====

3.
Compound: Tl2MoCl
Source: Alexandria
Functional: GGA-PBE
Structure: optimized geometry

Cell lengths 3.580, 6.132, 4.825 Å; angles 90.00, 90.00, 90.00 degrees
Each line ends with the local moment (μB).
Element x y z (fractional)
Cl (0.500, 0.000, 0.500)  0.05
Mo (0.000, 0.500, 0.500)  3.00
Tl (0.000, 0.000, 0.000)  0.00
Tl (0.500, 0.500, 0.000)  -0.04

Properties
Crystal system ... orthorhombic
Size of the total moment ... 3.5 μB/cell
Space-group type ... Pmmm
Energy relative to the elements, uncorrected ... 576 meV/atom
Energy relative to the lowest polymorph listed for this composition ... 446.1 meV per atom

=====

4.
Compound: TlMoCl2
Source: Alexandria
Functional: GGA-PBE
Structure: optimized geometry

Cell lengths 3.407, 3.407, 9.592 Å; angles 90.00, 90.00, 121.94 degrees
Each line ends with the local moment (μB).
Element x y z (fractional)
Tl (0.500, 0.500, 0.738)  -0.01
Mo (0.000, 0.000, 0.494)  0.79
Cl (0.000, 0.000, 0.955)  0.00
Cl (0.500, 0.500, 0.313)  0.01

Properties
Crystal system ... orthorhombic
Size of the total moment ... 0.9 μB/cell
Space-group type ... Cmm2
Energy relative to the elements, uncorrected ... 51 meV/atom
Energy relative to the lowest polymorph listed for this composition ... 289.0 meV per atom